The following is a DFT calculation (PBE-GGA) of an optimized crystal structure of ScZn2Hg.

abc: 4.5577 6.1041 6.1041
angles: 60.92 90.00 90.00
Fractional positions:
1 Sc 0.0000 0.0000 0.0000
2 Sc 0.5000 0.3330 0.3330
3 Zn 0.0000 0.5074 0.5074
4 Zn 0.5000 0.3393 0.8108
5 Zn 0.5000 0.8108 0.3393
6 Zn 0.5000 0.8364 0.8364
7 Hg 0.0000 0.5006 0.9910
8 Hg 0.0000 0.9910 0.5006

Values from the calculation:
SG: No. 38
Total DFT energy (no corrections) in hartree per atom: -0.094
DFT formation energy in meV/atom: -258
Spin magnetization in μB/atom: 0.0029

The following is a DFT calculation (PBE-GGA) of an optimized crystal structure of NaAlSnPt.

abc: 4.7760 4.7760 4.7760
angles: 60.00 60.00 60.00
Fractional positions:
1 Na 0.0000 0.0000 0.0000
2 Al 0.7500 0.7500 0.7500
3 Sn 0.5000 0.5000 0.5000
4 Pt 0.2500 0.2500 0.2500

Values from the calculation:
SG: No. 216
Total DFT energy (no corrections) in hartree per atom: -0.142
E above lowest polymorph in meV/atom: 208.6
Spin magnetization in μB/atom: 0.0000

The following is a DFT calculation (PBE-GGA) of an optimized crystal structure of Pr2CoSi4Pt.

abc: 4.1826 8.5875 8.5875
angles: 28.68 90.00 90.00
Fractional positions:
1 Pr 0.0000 0.0000 0.0000
2 Pr 0.5000 0.2102 0.2102
3 Co 0.0000 0.7861 0.7861
4 Si 0.0000 0.3464 0.3464
5 Si 0.0000 0.6488 0.6488
6 Si 0.5000 0.5694 0.5694
7 Si 0.5000 0.8471 0.8471
8 Pt 0.5000 0.4241 0.4241

Values from the calculation:
SG: No. 38
Total DFT energy (no corrections) in hartree per atom: -0.236
Spin magnetization in μB/atom: 0.0002

The following is a DFT calculation (PBE-GGA) of an optimized crystal structure of Lu3BeAg.

abc: 15.4632 15.4632 3.3454
angles: 90.00 90.00 160.46
Fractional positions:
1 Lu 0.0560 0.9440 0.0000
2 Lu 0.2075 0.7925 0.5000
3 Lu 0.3774 0.6226 0.5000
4 Lu 0.6226 0.3774 0.5000
5 Lu 0.7925 0.2075 0.5000
6 Lu 0.9440 0.0560 0.0000
7 Be 0.1193 0.8807 0.5000
8 Be 0.8807 0.1193 0.5000
9 Ag 0.2892 0.7108 0.0000
10 Ag 0.7108 0.2892 0.0000

Values from the calculation:
SG: No. 65
Total DFT energy (no corrections) in hartree per atom: -0.135
Spin magnetization in μB/atom: 0.0337

The following is a DFT calculation (PBE-GGA) of an optimized crystal structure of NdInNO.

abc: 3.9828 6.4103 5.8780
angles: 90.00 90.00 90.00
Fractional positions:
1 Nd 0.0000 0.1901 0.0000
2 Nd 0.0000 0.8099 0.5000
3 In 0.5000 0.3193 0.5071
4 In 0.5000 0.6807 0.0071
5 N 0.5000 0.3562 0.8862
6 N 0.5000 0.6438 0.3862
7 O 0.0000 0.1612 0.3972
8 O 0.0000 0.8388 0.8972

Values from the calculation:
SG: No. 26
Total DFT energy (no corrections) in hartree per atom: -0.235
E above lowest polymorph in meV/atom: 13.3
Spin magnetization in μB/atom: 0.0006

The following is a DFT calculation (PBE-GGA) of an optimized crystal structure of ZrBeCo.

abc: 4.1406 4.1406 4.1406
angles: 60.00 60.00 60.00
Fractional positions:
1 Zr 0.0000 0.0000 0.0000
2 Be 0.7500 0.7500 0.7500
3 Co 0.2500 0.2500 0.2500

Values from the calculation:
SG: No. 216
Total DFT energy (no corrections) in hartree per atom: -0.211
E above lowest polymorph in meV/atom: 594.6
Spin magnetization in μB/atom: 0.0011